*one*
Crystalline PuHfP2 at its relaxed geometry, computed with PBE.

For the spin magnetization, the calculation gives 5.5 μB/f.u. As for the density of states at the Fermi level: 2.37 states/eV per atom.

It has space group R3m (No. 160, hexagonal axes), with a = 3.7274 Å, b = 3.7274 Å, c = 20.2999 Å, α = 90.00°, β = 90.00° and γ = 120.00°. The asymmetric unit holds Pu at (0.0000, 0.0000, 0.0000), Hf at (0.0000, 0.0000, 0.8276), P at (0.0000, 0.0000, 0.2385) and P at (0.0000, 0.0000, 0.4209).

*two*
Crystalline PuHfP2 at its relaxed geometry, computed with PBE.

For the spin magnetization, the calculation gives 5.2 μB/f.u. As for the density of states at the Fermi level: 2.50 states/eV per atom.

It has space group R-3m (No. 166, hexagonal axes), with a = 3.8308 Å, b = 3.8308 Å, c = 18.8625 Å, α = 90.00°, β = 90.00° and γ = 120.00°. The asymmetric unit holds Pu at (0.0000, 0.0000, 0.0000), Hf at (0.0000, 0.0000, 0.5000) and P at (0.0000, 0.0000, 0.2446).

Q: Which of them is the least stable? A: *one*.

*one*
Crystalline RbHf3P at its relaxed geometry, computed with PBE.

For the spin magnetization, the calculation gives 0.0 μB/f.u. As for the density of states at the Fermi level: 1.46 states/eV per atom.

It has space group Pm-3m (No. 221), with a = 5.054 Å, b = 5.054 Å, c = 5.054 Å, α = 90.00°, β = 90.00° and γ = 90.00°. The asymmetric unit holds Rb at (0.000, 0.000, 0.000), Hf at (0.000, 0.500, 0.500) and P at (0.500, 0.500, 0.500).

*two*
Crystalline RbHf3P at its relaxed geometry, computed with PBE.

For the spin magnetization, the calculation gives 0.0 μB/f.u. As for the density of states at the Fermi level: 1.61 states/eV per atom.

It has space group Pm-3m (No. 221), with a = 5.011 Å, b = 5.011 Å, c = 5.011 Å, α = 90.00°, β = 90.00° and γ = 90.00°. The asymmetric unit holds Rb at (0.000, 0.000, 0.000), Hf at (0.000, 0.000, 0.500) and P at (0.500, 0.500, 0.500).

Q: Which of them is the least stable? A: *two*.

*one*
Crystalline Hf3ReP at its relaxed geometry, computed with PBE.

For the spin magnetization, the calculation gives 0.4 μB/f.u. As for the density of states at the Fermi level: 1.51 states/eV per atom.

It has space group Pm-3m (No. 221), with a = 4.717 Å, b = 4.717 Å, c = 4.717 Å, α = 90.00°, β = 90.00° and γ = 90.00°. The asymmetric unit holds Hf at (0.000, 0.000, 0.500), Re at (0.500, 0.500, 0.500) and P at (0.000, 0.000, 0.000).

*two*
Crystalline Hf3ReP at its relaxed geometry, computed with PBE.

For the spin magnetization, the calculation gives 0.0 μB/f.u. As for the density of states at the Fermi level: 1.50 states/eV per atom.

It has space group Pm-3m (No. 221), with a = 5.007 Å, b = 5.007 Å, c = 5.007 Å, α = 90.00°, β = 90.00° and γ = 90.00°. The asymmetric unit holds Hf at (0.000, 0.000, 0.500), Re at (0.000, 0.000, 0.000) and P at (0.500, 0.500, 0.500).

Q: Which of them is the least stable? A: *two*.

*one*
Crystalline HfRe3P at its relaxed geometry, computed with PBE.

For the spin magnetization, the calculation gives 2.1 μB/f.u. As for the density of states at the Fermi level: 1.24 states/eV per atom.

It has space group Pm-3m (No. 221), with a = 4.799 Å, b = 4.799 Å, c = 4.799 Å, α = 90.00°, β = 90.00° and γ = 90.00°. The asymmetric unit holds Hf at (0.000, 0.000, 0.000), Re at (0.000, 0.000, 0.500) and P at (0.500, 0.500, 0.500).

*two*
Crystalline HfRe3P at its relaxed geometry, computed with PBE.

For the spin magnetization, the calculation gives 0.0 μB/f.u. As for the density of states at the Fermi level: 0.65 states/eV per atom.

It has space group Pm-3m (No. 221), with a = 4.400 Å, b = 4.400 Å, c = 4.400 Å, α = 90.00°, β = 90.00° and γ = 90.00°. The asymmetric unit holds Hf at (0.000, 0.000, 0.000), Re at (0.000, 0.500, 0.500) and P at (0.500, 0.500, 0.500).

Q: Which of them is the least stable? A: *one*.

*one*
Crystalline HfRePS2 at its relaxed geometry, computed with PBE.

For the spin magnetization, the calculation gives 0.0 μB/f.u. As for the density of states at the Fermi level: 1.14 states/eV per atom.

It has space group P4/mmm (No. 123), with a = 4.510 Å, b = 4.510 Å, c = 4.831 Å, α = 90.00°, β = 90.00° and γ = 90.00°. The asymmetric unit holds Hf at (0.000, 0.000, 0.000), Re at (0.500, 0.500, 0.500), P at (0.500, 0.500, 0.000) and S at (0.000, 0.500, 0.500).

*two*
Crystalline HfRePS2 at its relaxed geometry, computed with PBE.

For the spin magnetization, the calculation gives 4.2 μB/f.u. As for the density of states at the Fermi level: 0.70 states/eV per atom.

It has space group P4/mmm (No. 123), with a = 4.800 Å, b = 4.800 Å, c = 5.223 Å, α = 90.00°, β = 90.00° and γ = 90.00°. The asymmetric unit holds Hf at (0.000, 0.000, 0.000), Re at (0.500, 0.500, 0.500), P at (0.000, 0.000, 0.500) and S at (0.000, 0.500, 0.000).

Q: Which of them is the least stable? A: *two*.

*one*
Crystalline HfPRh3 at its relaxed geometry, computed with PBE.

For the spin magnetization, the calculation gives 0.0 μB/f.u. As for the density of states at the Fermi level: 1.50 states/eV per atom.

It has space group Pm-3m (No. 221), with a = 4.750 Å, b = 4.750 Å, c = 4.750 Å, α = 90.00°, β = 90.00° and γ = 90.00°. The asymmetric unit holds Hf at (0.000, 0.000, 0.000), P at (0.500, 0.500, 0.500) and Rh at (0.000, 0.000, 0.500).

*two*
Crystalline HfPRh3 at its relaxed geometry, computed with PBE.

For the spin magnetization, the calculation gives 0.0 μB/f.u. As for the density of states at the Fermi level: 1.70 states/eV per atom.

It has space group Pm-3m (No. 221), with a = 4.386 Å, b = 4.386 Å, c = 4.386 Å, α = 90.00°, β = 90.00° and γ = 90.00°. The asymmetric unit holds Hf at (0.000, 0.000, 0.000), P at (0.500, 0.500, 0.500) and Rh at (0.000, 0.500, 0.500).

Q: Which of them is the least stable? A: *one*.

*one*
Crystalline HfP2RhS at its relaxed geometry, computed with PBE.

For the spin magnetization, the calculation gives 1.0 μB/f.u. As for the density of states at the Fermi level: 1.02 states/eV per atom.

It has space group P4/mmm (No. 123), with a = 4.944 Å, b = 4.944 Å, c = 4.785 Å, α = 90.00°, β = 90.00° and γ = 90.00°. The asymmetric unit holds Hf at (0.000, 0.000, 0.000), P at (0.000, 0.500, 0.000), Rh at (0.500, 0.500, 0.500) and S at (0.000, 0.000, 0.500).

*two*
Crystalline HfP2RhS at its relaxed geometry, computed with PBE.

For the spin magnetization, the calculation gives 0.0 μB/f.u. As for the density of states at the Fermi level: 0.83 states/eV per atom.

It has space group P4/mmm (No. 123), with a = 4.481 Å, b = 4.481 Å, c = 4.750 Å, α = 90.00°, β = 90.00° and γ = 90.00°. The asymmetric unit holds Hf at (0.000, 0.000, 0.000), P at (0.000, 0.500, 0.500), Rh at (0.500, 0.500, 0.500) and S at (0.500, 0.500, 0.000).

Q: Which of them is the least stable? A: *one*.

*one*
Crystalline HfP2Ru at its relaxed geometry, computed with PBE.

For the spin magnetization, the calculation gives 0.0 μB/f.u. As for the density of states at the Fermi level: 0.61 states/eV per atom.

It has space group I-42d (No. 122), with a = 4.926 Å, b = 4.926 Å, c = 13.101 Å, α = 90.00°, β = 90.00° and γ = 90.00°. The asymmetric unit holds Hf at (0.000, 0.000, 0.000), P at (0.198, 0.250, 0.625) and Ru at (0.000, 0.000, 0.500).

*two*
Crystalline HfP2Ru at its relaxed geometry, computed with PBE.

For the spin magnetization, the calculation gives 0.0 μB/f.u. As for the density of states at the Fermi level: 0.24 states/eV per atom.

It has space group R-3m (No. 166, hexagonal axes), with a = 3.7583 Å, b = 3.7583 Å, c = 15.3886 Å, α = 90.00°, β = 90.00° and γ = 120.00°. The asymmetric unit holds Hf at (0.0000, 0.0000, 0.0000), P at (0.0000, 0.0000, 0.2367) and Ru at (0.0000, 0.0000, 0.5000).

*three*
Crystalline HfP2Ru at its relaxed geometry, computed with PBE.

For the spin magnetization, the calculation gives 0.0 μB/f.u. As for the density of states at the Fermi level: 1.24 states/eV per atom.

It has space group Fm-3m (No. 225), with a = 6.192 Å, b = 6.192 Å, c = 6.192 Å, α = 90.00°, β = 90.00° and γ = 90.00°. The asymmetric unit holds Hf at (0.000, 0.000, 0.000), P at (0.250, 0.250, 0.250) and Ru at (0.000, 0.000, 0.500).

Q: Which of them is the least stable? A: *one*.

*one*
Crystalline HfP3Ru at its relaxed geometry, computed with PBE.

For the spin magnetization, the calculation gives 1.7 μB/f.u. As for the density of states at the Fermi level: 1.65 states/eV per atom.

It has space group Pm-3m (No. 221), with a = 4.892 Å, b = 4.892 Å, c = 4.892 Å, α = 90.00°, β = 90.00° and γ = 90.00°. The asymmetric unit holds Hf at (0.000, 0.000, 0.000), P at (0.000, 0.000, 0.500) and Ru at (0.500, 0.500, 0.500).

*two*
Crystalline HfP3Ru at its relaxed geometry, computed with PBE.

For the spin magnetization, the calculation gives 0.0 μB/f.u. As for the density of states at the Fermi level: 1.71 states/eV per atom.

It has space group Pm-3m (No. 221), with a = 4.558 Å, b = 4.558 Å, c = 4.558 Å, α = 90.00°, β = 90.00° and γ = 90.00°. The asymmetric unit holds Hf at (0.000, 0.000, 0.000), P at (0.000, 0.500, 0.500) and Ru at (0.500, 0.500, 0.500).

Q: Which of them is the least stable? A: *one*.

*one*
Crystalline HfP2RuS at its relaxed geometry, computed with PBE.

For the spin magnetization, the calculation gives 2.3 μB/f.u. As for the density of states at the Fermi level: 1.16 states/eV per atom.

It has space group P4/mmm (No. 123), with a = 4.953 Å, b = 4.953 Å, c = 4.801 Å, α = 90.00°, β = 90.00° and γ = 90.00°. The asymmetric unit holds Hf at (0.000, 0.000, 0.000), P at (0.000, 0.500, 0.000), Ru at (0.500, 0.500, 0.500) and S at (0.000, 0.000, 0.500).

*two*
Crystalline HfP2RuS at its relaxed geometry, computed with PBE.

For the spin magnetization, the calculation gives 0.0 μB/f.u. As for the density of states at the Fermi level: 0.95 states/eV per atom.

It has space group P4/mmm (No. 123), with a = 4.429 Å, b = 4.429 Å, c = 4.890 Å, α = 90.00°, β = 90.00° and γ = 90.00°. The asymmetric unit holds Hf at (0.000, 0.000, 0.000), P at (0.000, 0.500, 0.500), Ru at (0.500, 0.500, 0.500) and S at (0.500, 0.500, 0.000).

Q: Which of them is the least stable? A: *one*.

*one*
Crystalline HfPS3 at its relaxed geometry, computed with PBE.

For the spin magnetization, the calculation gives 0.0 μB/f.u. As for the density of states at the Fermi level: 0.87 states/eV per atom.

It has space group Pm-3m (No. 221), with a = 4.428 Å, b = 4.428 Å, c = 4.428 Å, α = 90.00°, β = 90.00° and γ = 90.00°. The asymmetric unit holds Hf at (0.000, 0.000, 0.000), P at (0.500, 0.500, 0.500) and S at (0.000, 0.500, 0.500).

*two*
Crystalline HfPS3 at its relaxed geometry, computed with PBE.

For the spin magnetization, the calculation gives 1.2 μB/f.u. As for the density of states at the Fermi level: 0.81 states/eV per atom.

It has space group Pm-3m (No. 221), with a = 4.920 Å, b = 4.920 Å, c = 4.920 Å, α = 90.00°, β = 90.00° and γ = 90.00°. The asymmetric unit holds Hf at (0.000, 0.000, 0.000), P at (0.500, 0.500, 0.500) and S at (0.000, 0.000, 0.500).

Q: Which of them is the least stable? A: *one*.

*one*
Crystalline Hf6P2S at its relaxed geometry, computed with PBE.

For the spin magnetization, the calculation gives 0.0 μB/f.u. As for the density of states at the Fermi level: 0.64 states/eV per atom.

It has space group P2_1/c (No. 14), with a = 5.889 Å, b = 6.620 Å, c = 10.339 Å, α = 90.00°, β = 122.64° and γ = 90.00°. The asymmetric unit holds Hf at (0.082, 0.193, 0.443), Hf at (0.281, 0.662, 0.436), Hf at (0.409, 0.034, 0.239), P at (0.163, 0.129, 0.730) and S at (0.500, 0.000, 0.500).

*two*
Crystalline Hf6P2S at its relaxed geometry, computed with PBE.

For the spin magnetization, the calculation gives 0.0 μB/f.u. As for the density of states at the Fermi level: 0.61 states/eV per atom.

It has space group C2/m (No. 12), with a = 11.518 Å, b = 3.493 Å, c = 8.357 Å, α = 90.00°, β = 91.43° and γ = 90.00°. The asymmetric unit holds Hf at (0.063, 0.000, 0.218), Hf at (0.146, 0.500, 0.935), Hf at (0.151, 0.500, 0.561), P at (0.237, 0.500, 0.246) and S at (0.000, 0.000, 0.500).

Q: Which of them is the least stable? A: *one*.